Compound: AcTh5N6
Source: Alexandria via LeMat-Bulk
Functional: PBE-GGA
Structure: optimized geometry

Output
crystal system = monoclinic
uncorrected energy = -9.08 eV/atom

Lattice parameters (Å, degrees): 6.4057 11.0789 6.4036 90.00 109.46 90.00
With the nearest neighbours (Å) after each atom.
Space group C2/m (No. 12)
Inequivalent atoms, fractional coordinates:
Ac1 0.0000 0.0000 0.0000  6 N 2.74-2.76
Th1 0.0000 0.1659 0.5000  6 N 2.48-2.64
Th2 0.0000 0.3331 0.0000  6 N 2.59-2.62
Th3 0.0000 0.5000 0.5000  6 N 2.49-2.61
N1 0.2316 0.5000 0.2565  5 Th 2.49-2.64, 1 Ac 2.74
N2 0.2360 0.3244 0.7363  5 Th 2.48-2.62, 1 Ac 2.76

Compound: AcTh4N6
Source: Alexandria via LeMat-Bulk
Functional: PBE-GGA
Structure: optimized geometry

Output
crystal system = orthorhombic
uncorrected energy = -9.12 eV/atom

Lattice parameters (Å, degrees): 3.6023 12.1728 18.1631 90.00 90.00 90.00
With the nearest neighbours (Å) after each atom.
Space group Cmcm (No. 63)
Inequivalent atoms, fractional coordinates:
Ac1 0.0000 0.1485 0.2500  2 N 2.54
Th1 0.0000 0.1050 0.6398  5 N 2.34-2.55
Th2 0.0000 0.3678 0.5457  6 N 2.33-2.60
N1 0.0000 0.0000 0.0000  6 Th 2.55-2.84
N2 0.0000 0.2039 0.7500  2 Th 2.34, 2 Ac 2.54
N3 0.0000 0.2788 0.0785  5 Th 2.50-2.60
N4 0.0000 0.4690 0.6549  3 Th 2.33-2.46

Compound: Ac2ThN3
Source: Alexandria via LeMat-Bulk
Functional: PBE-GGA
Structure: optimized geometry

Output
crystal system = monoclinic
uncorrected energy = -8.04 eV/atom
energy above the most stable polymorph in this dataset = 0.000 eV per formula unit

Lattice parameters (Å, degrees): 12.1991 5.3676 7.5886 90.00 108.08 90.00
With the nearest neighbours (Å) after each atom.
Space group C2/c (No. 15)
Inequivalent atoms, fractional coordinates:
Ac1 0.1656 0.0000 0.0827  6 N 2.70-2.94
Th1 0.0000 0.4997 0.2500  6 N 2.51-2.69
N1 0.0000 0.0011 0.2500  2 Th 2.68-2.69, 4 Ac 2.70
N2 0.1412 0.5000 0.0705  2 Th 2.51, 2 Ac 2.70

Compound: AcTh2N3
Source: Alexandria via LeMat-Bulk
Functional: PBE-GGA
Structure: optimized geometry

Output
crystal system = hexagonal
uncorrected energy = -8.62 eV/atom

Lattice parameters (Å, degrees): 6.2014 6.2014 6.9736 90.00 90.00 120.00
With the nearest neighbours (Å) after each atom.
Space group P6_3/mcm (No. 193)
Inequivalent atoms, fractional coordinates:
Ac1 0.0000 0.0000 0.2500  6 N 3.07-3.13
Th1 0.3333 0.6667 0.0000  6 N 2.50
N1 0.0000 0.4948 0.2500  4 Th 2.50

Compound: Ac4ThN4
Source: Alexandria via LeMat-Bulk
Functional: PBE-GGA
Structure: optimized geometry

Output
crystal system = monoclinic
uncorrected energy = -7.41 eV/atom

Lattice parameters (Å, degrees): 12.9208 3.8118 9.6068 90.00 120.10 90.00
With the nearest neighbours (Å) after each atom.
Space group C2/m (No. 12)
Inequivalent atoms, fractional coordinates:
Ac1 0.1057 0.0000 0.3839  3 N 2.59-2.71
Ac2 0.2068 0.5000 0.8120  5 N 2.62-2.90
Th1 0.0000 0.5000 0.0000  6 N 2.55-2.56
N1 0.0895 0.0000 0.9157  2 Th 2.56, 2 Ac 2.62-2.71
N2 0.1846 0.5000 0.2800  1 Th 2.55, 4 Ac 2.59-2.76

Compound: AcTh2N
Source: Alexandria via LeMat-Bulk
Functional: PBE-GGA
Structure: optimized geometry

Output
crystal system = trigonal
uncorrected energy = -7.27 eV/atom

Lattice parameters (Å, degrees): 3.6663 3.6663 30.2448 90.00 90.00 120.00
With the nearest neighbours (Å) after each atom.
Space group R-3m (No. 166, hexagonal axes)
Inequivalent atoms, fractional coordinates:
Ac1 0.0000 0.0000 0.0000  2 Th 3.64, 6 Ac 3.67
Th1 0.0000 0.0000 0.1203  3 N 2.54
N1 0.0000 0.0000 0.5000  6 Th 2.54

Compound: Ac3Th2N4
Source: Alexandria via LeMat-Bulk
Functional: PBE-GGA
Structure: optimized geometry

Output
crystal system = monoclinic
uncorrected energy = -7.80 eV/atom

Lattice parameters (Å, degrees): 12.7608 3.8765 9.5119 90.00 121.91 90.00
With the nearest neighbours (Å) after each atom.
Space group C2/m (No. 12)
Inequivalent atoms, fractional coordinates:
Ac1 0.0000 0.0000 0.0000  6 N 2.82-2.84
Ac2 0.1982 0.0000 0.8005  3 N 2.67-2.79
Th1 0.1057 0.5000 0.3832  4 N 2.42-2.52
N1 0.0935 0.5000 0.8787  1 Th 2.44, 2 Ac 2.67
N2 0.1965 0.0000 0.3362  3 Th 2.42-2.52

Compound: Ac2ThN
Source: Alexandria via LeMat-Bulk
Functional: PBE-GGA
Structure: optimized geometry

Output
crystal system = trigonal
uncorrected energy = -6.26 eV/atom

Lattice parameters (Å, degrees): 3.6897 3.6897 31.6598 90.00 90.00 120.00
With the nearest neighbours (Å) after each atom.
Space group R-3m (No. 166, hexagonal axes)
Inequivalent atoms, fractional coordinates:
Ac1 0.0000 0.0000 0.1177  3 N 2.63
Th1 0.0000 0.0000 0.0000  6 Th 3.69, 2 Ac 3.73
N1 0.0000 0.0000 0.5000  6 Ac 2.63

Compound: AcThN
Source: Alexandria via LeMat-Bulk
Functional: PBE-GGA
Structure: optimized geometry

Output
crystal system = tetragonal
uncorrected energy = -7.45 eV/atom
energy above the most stable polymorph in this dataset = 0.000 eV per formula unit

Lattice parameters (Å, degrees): 3.5940 3.5940 5.7740 90.00 90.00 90.00
With the nearest neighbours (Å) after each atom.
Space group P4/mmm (No. 123)
Inequivalent atoms, fractional coordinates:
Ac1 0.0000 0.0000 0.0000  2 N 2.89
Th1 0.5000 0.5000 0.5000  4 N 2.54
N1 0.0000 0.0000 0.5000  4 Th 2.54

Compound: AcThN
Source: Alexandria via LeMat-Bulk
Functional: PBE-GGA
Structure: optimized geometry

Output
crystal system = tetragonal
uncorrected energy = -7.22 eV/atom
energy above the most stable polymorph in this dataset = 0.688 eV per formula unit

Lattice parameters (Å, degrees): 3.4579 3.4579 14.2723 90.00 90.00 90.00
With the nearest neighbours (Å) after each atom.
Space group I4mm (No. 107)
Inequivalent atoms, fractional coordinates:
Ac1 0.0000 0.0000 0.0000  1 N 2.61
Th1 0.0000 0.0000 0.2814  4 N 2.50
N1 0.0000 0.0000 0.8169  4 Th 2.50, 1 Ac 2.61

Compound: AcThN
Source: Alexandria via LeMat-Bulk
Functional: PBE-GGA
Structure: optimized geometry

Output
crystal system = trigonal
uncorrected energy = -7.33 eV/atom
energy above the most stable polymorph in this dataset = 0.366 eV per formula unit

Lattice parameters (Å, degrees): 3.8148 3.8148 6.4805 90.00 90.00 120.00
With the nearest neighbours (Å) after each atom.
Space group P3m1 (No. 156)
Inequivalent atoms, fractional coordinates:
Ac1 0.0000 0.0000 0.0000  3 N 2.90
Th1 0.6667 0.3333 0.5479  3 N 2.43
N1 0.3333 0.6667 0.7078  3 Th 2.43

Compound: Ac5ThN5
Source: Alexandria via LeMat-Bulk
Functional: PBE-GGA
Structure: optimized geometry

Output
crystal system = monoclinic
uncorrected energy = -7.38 eV/atom

Lattice parameters (Å, degrees): 12.1529 5.4745 7.7131 90.00 108.62 90.00
With the nearest neighbours (Å) after each atom.
Space group C2/m (No. 12)
Inequivalent atoms, fractional coordinates:
Ac1 0.0000 0.0000 0.0000  4 N 2.72-2.76
Ac2 0.1704 0.5000 0.3402  5 N 2.63-2.74
Ac3 0.1703 0.5000 0.8243  5 N 2.69-3.00
Th1 0.0000 0.0000 0.5000  6 N 2.46-2.74
N1 0.0000 0.5000 0.5000  4 Ac 2.69-2.73, 2 Th 2.74
N2 0.1501 0.0000 0.8032  1 Th 2.46, 4 Ac 2.72-2.75
N3 0.1598 0.0000 0.3465  1 Th 2.58, 5 Ac 2.63-2.78

Compound: Ac5Th3N8
Source: Alexandria via LeMat-Bulk
Functional: PBE-GGA
Structure: optimized geometry

Output
crystal system = trigonal
uncorrected energy = -8.13 eV/atom

Lattice parameters (Å, degrees): 7.5956 7.5956 18.7452 90.00 90.00 120.00
With the nearest neighbours (Å) after each atom.
Space group R-3m (No. 166, hexagonal axes)
Inequivalent atoms, fractional coordinates:
Ac1 0.0000 0.0000 0.0000  6 N 2.70
Ac2 0.0000 0.0000 0.5000  6 N 2.70
Ac3 0.0000 0.5000 0.0000  6 N 2.81-2.84
Th1 0.0000 0.5000 0.5000  6 N 2.55-2.58
N1 0.0000 0.0000 0.2393  3 Th 2.58, 3 Ac 2.81
N2 0.0183 0.5091 0.7591  2 Th 2.55, 4 Ac 2.70-2.84

Compound: Ac2ThN3
Source: Alexandria via LeMat-Bulk
Functional: PBE-GGA
Structure: optimized geometry

Output
crystal system = tetragonal
uncorrected energy = -8.01 eV/atom
energy above the most stable polymorph in this dataset = 0.171 eV per formula unit

Lattice parameters (Å, degrees): 3.8138 3.8138 16.3509 90.00 90.00 90.00
With the nearest neighbours (Å) after each atom.
Space group I4/mmm (No. 139)
Inequivalent atoms, fractional coordinates:
Ac1 0.0000 0.0000 0.1627  5 N 2.66-2.71
Th1 0.0000 0.0000 0.5000  6 N 2.42-2.70
N1 0.0000 0.0000 0.0000  2 Ac 2.66, 4 Th 2.70
N2 0.0000 0.0000 0.3522  1 Th 2.42

Compound: AcThTiN4
Source: Alexandria via LeMat-Bulk
Functional: PBE-GGA
Structure: optimized geometry

Output
crystal system = orthorhombic
uncorrected energy = -8.81 eV/atom

Lattice parameters (Å, degrees): 5.6192 13.0529 5.6223 90.00 90.00 90.00
With the nearest neighbours (Å) after each atom.
Space group Cmcm (No. 63)
Inequivalent atoms, fractional coordinates:
Ac1 0.0000 0.1058 0.2500  7 N 2.55-2.82
Th1 0.0000 0.3903 0.2500  1 N 2.30
Ti1 0.0000 0.2404 0.7500  5 N 1.97-1.99
N1 0.0000 0.0894 0.7500  1 Ti 1.97
N2 0.0000 0.4339 0.7500  1 Th 2.30, 1 Ti 2.52
N3 0.2500 0.2500 0.0000  2 Ti 1.99

Compound: Ac4Th3TiN8
Source: Alexandria via LeMat-Bulk
Functional: PBE-GGA
Structure: optimized geometry

Output
crystal system = trigonal
uncorrected energy = -8.32 eV/atom

Lattice parameters (Å, degrees): 7.3086 7.3086 18.4796 90.00 90.00 120.00
With the nearest neighbours (Å) after each atom.
Space group R-3m (No. 166, hexagonal axes)
Inequivalent atoms, fractional coordinates:
Ac1 0.0000 0.0000 0.0000  6 N 2.90
Ac2 0.0000 0.5000 0.0000  6 N 2.74-2.75
Th1 0.0000 0.5000 0.5000  6 N 2.48-2.52
Ti1 0.0000 0.0000 0.5000  6 N 2.33
N1 0.0000 0.0000 0.2377  3 Th 2.48, 3 Ac 2.75
N2 0.0232 0.5116 0.2346  1 Ti 2.33, 2 Th 2.52

Compound: AcThTiN3
Source: Alexandria via LeMat-Bulk
Functional: PBE-GGA
Structure: optimized geometry

Output
crystal system = monoclinic
uncorrected energy = -8.65 eV/atom

Lattice parameters (Å, degrees): 7.8020 3.6843 7.8128 90.00 97.90 90.00
With the nearest neighbours (Å) after each atom.
Space group P2_1/m (No. 11)
Inequivalent atoms, fractional coordinates:
Ac1 0.1750 0.2500 0.1673  3 N 2.56-2.71
Th1 0.1757 0.2500 0.6320  3 N 2.32-2.53
Ti1 0.4094 0.7500 0.8995  4 N 1.96-2.05
N1 0.1250 0.7500 0.4096  3 Th 2.32-2.53
N2 0.1563 0.7500 0.8682  1 Ti 1.96
N3 0.4900 0.2500 0.8444  3 Ti 2.01-2.05

Compound: AcTh2UN4
Source: Alexandria via LeMat-Bulk
Functional: PBE-GGA
Structure: optimized geometry

Output
crystal system = tetragonal
uncorrected energy = -9.22 eV/atom

Lattice parameters (Å, degrees): 5.1914 5.1914 10.3283 90.00 90.00 90.00
With the nearest neighbours (Å) after each atom.
Space group I-4m2 (No. 119)
Inequivalent atoms, fractional coordinates:
Ac1 0.0000 0.0000 0.0000  6 N 2.61-2.68
Th1 0.0000 0.0000 0.5000  6 N 2.48-2.61
Th2 0.0000 0.5000 0.2500  6 N 2.60-2.84
U1 0.0000 0.5000 0.7500  6 N 2.32-2.60
N1 0.0000 0.0000 0.2600  3 Th 2.48-2.60, 2 U 2.60, 1 Ac 2.68
N2 0.0000 0.5000 0.5252  1 U 2.32

Compound: Ac3Th2UN6
Source: Alexandria via LeMat-Bulk
Functional: PBE-GGA
Structure: optimized geometry

Output
crystal system = monoclinic
uncorrected energy = -8.71 eV/atom

Lattice parameters (Å, degrees): 6.3987 11.0644 6.5478 90.00 108.96 90.00
With the nearest neighbours (Å) after each atom.
Space group C2/m (No. 12)
Inequivalent atoms, fractional coordinates:
Ac1 0.0000 0.0000 0.0000  6 N 2.79-2.95
Ac2 0.0000 0.3338 0.0000  6 N 2.77-2.99
Th1 0.0000 0.1666 0.5000  6 N 2.53-2.54
U1 0.0000 0.5000 0.5000  6 N 2.30-2.33
N1 0.2177 0.3470 0.6938  1 U 2.30, 2 Th 2.53
N2 0.2417 0.5000 0.3000  1 U 2.33, 2 Th 2.54

Compound: Ac2ThUN4
Source: Alexandria via LeMat-Bulk
Functional: PBE-GGA
Structure: optimized geometry

Output
crystal system = monoclinic
uncorrected energy = -8.84 eV/atom

Lattice parameters (Å, degrees): 6.3502 3.6727 6.5021 90.00 108.95 90.00
With the nearest neighbours (Å) after each atom.
Space group P2/m (No. 10)
Inequivalent atoms, fractional coordinates:
Ac1 0.0000 0.0000 0.0000  6 N 2.91-2.99
Ac2 0.5000 0.5000 0.0000  6 N 2.75-2.77
Th1 0.0000 0.5000 0.5000  6 N 2.52-2.53
U1 0.5000 0.0000 0.5000  6 N 2.25-2.36
N1 0.2627 0.0000 0.6929  1 U 2.25
N2 0.2922 0.5000 0.3117  2 U 2.36, 1 Th 2.53

Number 1: magnetic moment 0.00 μB per atom. Number 2: magnetic moment 0.00 μB per atom. Number 3: magnetic moment 0.00 μB per atom. Number 4: magnetic moment 0.00 μB per atom. Number 5: magnetic moment 0.04 μB per atom. Number 6: magnetic moment 0.00 μB per atom. Number 7: magnetic moment 0.00 μB per atom. Number 8: magnetic moment 0.00 μB per atom. Number 9: magnetic moment 0.00 μB per atom. Number 10: magnetic moment 0.00 μB per atom. Number 11: magnetic moment 0.32 μB per atom. Number 12: magnetic moment 0.00 μB per atom. Number 13: magnetic moment 0.00 μB per atom. Number 14: magnetic moment 0.00 μB per atom. Number 15: magnetic moment 0.00 μB per atom. Number 16: magnetic moment 0.00 μB per atom. Number 17: magnetic moment 0.04 μB per atom. Number 18: magnetic moment 0.20 μB per atom. Number 19: magnetic moment 0.00 μB per atom. Number 20: magnetic moment 0.00 μB per atom.